Compound: MnFe2PbF8
Source: Alexandria via LeMat-Bulk
Functional: PBE with a Hubbard U
Structure: relaxed

uncorrected energy = -5.16 eV/atom

Unit cell a=7.5208 b=7.5208 c=6.9809 alpha=90.00 beta=90.00 gamma=90.00
Closest atoms and distances in Å follow each position.
Space group I-4m2 (No. 119)
Unique sites:
Mn1 0.0000 0.0000 0.0000  8 F 2.28-2.44
Fe1 0.0000 0.0000 0.5000  4 F 1.96
Fe2 0.0000 0.5000 0.7500  4 F 1.98
Pb1 0.0000 0.5000 0.2500  8 F 2.45-2.73
F1 0.0000 0.1764 0.2926  1 Fe 1.96
F2 0.0000 0.2951 0.9280  1 Fe 1.98